A geometry-optimized Pt2BrCl structure, computed with PBE.

```
data_Pt2BrCl
_symmetry_space_group_name_H-M 'F -4 3 m'
_symmetry_Int_Tables_number 216
_symmetry_space_group_name_Hall 'F -4 2 3'
_cell_length_a 6.6370
_cell_length_b 6.6370
_cell_length_c 6.6370
_cell_angle_alpha 90.00
_cell_angle_beta 90.00
_cell_angle_gamma 90.00
loop_
_atom_site_label
_atom_site_fract_x
_atom_site_fract_y
_atom_site_fract_z
Pt1 0.0000 0.0000 0.0000
Pt2 0.2500 0.2500 0.2500
Br1 0.2500 0.2500 0.7500
Cl1 0.0000 0.0000 0.5000
```

Computed properties:
As for the energy above the most stable polymorph in this dataset: 1040 meV per atom. The uncorrected formation energy comes out at 822 meV per atom. The value obtained for the total magnetic moment is 2.4 Bohr magnetons per cell.

***

A geometry-optimized PtBrCl5 structure, computed with PBE.

```
data_PtBrCl5
_symmetry_space_group_name_H-M 'I m m 2'
_symmetry_Int_Tables_number 44
_cell_length_a 9.1657
_cell_length_b 10.7852
_cell_length_c 4.9321
_cell_angle_alpha 90.00
_cell_angle_beta 90.00
_cell_angle_gamma 90.00
loop_
_symmetry_equiv_pos_as_xyz
'x,y,z'
'-x,-y,z'
'-x,y,z'
'x,-y,z'
'x+1/2,y+1/2,z+1/2'
'-x+1/2,-y+1/2,z+1/2'
'-x+1/2,y+1/2,z+1/2'
'x+1/2,-y+1/2,z+1/2'
loop_
_atom_site_label
_atom_site_fract_x
_atom_site_fract_y
_atom_site_fract_z
Pt1 0.0000 0.0000 0.0000
Br1 0.0000 0.5000 0.5977
Cl1 0.0000 0.0000 0.4909
Cl2 0.0000 0.2137 0.0046
Cl3 0.2436 0.5000 0.4158
```

Computed properties:
The uncorrected formation energy comes out at -89 meV per atom. The value obtained for the total magnetic moment is 1.1 Bohr magnetons per cell.

***

A geometry-optimized PtBrCl6 structure, computed with PBE.

```
data_PtBrCl6
_symmetry_space_group_name_H-M 'C 1 2/c 1'
_symmetry_Int_Tables_number 15
_cell_length_a 11.1589
_cell_length_b 7.5429
_cell_length_c 12.2549
_cell_angle_alpha 90.00
_cell_angle_beta 104.30
_cell_angle_gamma 90.00
loop_
_symmetry_equiv_pos_as_xyz
'x,y,z'
'-x,-y,-z'
'-x,y,-z+1/2'
'x,-y,z+1/2'
'x+1/2,y+1/2,z'
'-x+1/2,-y+1/2,-z'
'-x+1/2,y+1/2,-z+1/2'
'x+1/2,-y+1/2,z+1/2'
loop_
_atom_site_label
_atom_site_fract_x
_atom_site_fract_y
_atom_site_fract_z
Pt1 0.2500 0.2500 0.0000
Br1 0.0000 0.0172 0.7500
Cl1 0.0879 0.3554 0.0706
Cl2 0.1367 0.0092 0.4347
Cl3 0.1736 0.4043 0.8321
```

Computed properties:
The uncorrected formation energy comes out at -176 meV per atom. The value obtained for the total magnetic moment is 4.4 Bohr magnetons per cell.

***

A geometry-optimized PtBr2Cl structure, computed with PBE.

```
data_PtBr2Cl
_symmetry_space_group_name_H-M 'F -4 3 m'
_symmetry_Int_Tables_number 216
_symmetry_space_group_name_Hall 'F -4 2 3'
_cell_length_a 6.9545
_cell_length_b 6.9545
_cell_length_c 6.9545
_cell_angle_alpha 90.00
_cell_angle_beta 90.00
_cell_angle_gamma 90.00
loop_
_atom_site_label
_atom_site_fract_x
_atom_site_fract_y
_atom_site_fract_z
Pt1 0.0000 0.0000 0.0000
Br1 0.0000 0.0000 0.5000
Br2 0.2500 0.2500 0.7500
Cl1 0.2500 0.2500 0.2500
```

Computed properties:
As for the energy above the most stable polymorph in this dataset: 1089 meV per atom. The uncorrected formation energy comes out at 855 meV per atom. The value obtained for the total magnetic moment is 0.0 Bohr magnetons per cell.

***

A geometry-optimized Pt2BrCl structure, computed with PBE.

```
data_Pt2BrCl
_symmetry_space_group_name_H-M 'P m m m'
_symmetry_Int_Tables_number 47
_cell_length_a 3.0311
_cell_length_b 4.2329
_cell_length_c 5.9361
_cell_angle_alpha 90.00
_cell_angle_beta 90.00
_cell_angle_gamma 90.00
loop_
_symmetry_equiv_pos_as_xyz
'x,y,z'
'-x,-y,-z'
'-x,-y,z'
'x,y,-z'
'x,-y,-z'
'-x,y,z'
'-x,y,-z'
'x,-y,z'
loop_
_atom_site_label
_atom_site_fract_x
_atom_site_fract_y
_atom_site_fract_z
Pt1 0.0000 0.0000 0.0000
Pt2 0.5000 0.0000 0.5000
Br1 0.0000 0.5000 0.5000
Cl1 0.5000 0.5000 0.0000
```

Computed properties:
As for the energy above the most stable polymorph in this dataset: 760 meV per atom. The uncorrected formation energy comes out at 542 meV per atom. The value obtained for the total magnetic moment is 0.0 Bohr magnetons per cell.

***

A geometry-optimized Pt2BrCl structure, computed with PBE.

```
data_Pt2BrCl
_symmetry_space_group_name_H-M 'I -4 2 d'
_symmetry_Int_Tables_number 122
_symmetry_space_group_name_Hall 'I -4 2bw'
_cell_length_a 6.9414
_cell_length_b 6.9414
_cell_length_c 6.3883
_cell_angle_alpha 90.00
_cell_angle_beta 90.00
_cell_angle_gamma 90.00
loop_
_atom_site_label
_atom_site_fract_x
_atom_site_fract_y
_atom_site_fract_z
Pt1 0.2436 0.2500 0.1250
Br1 0.0000 0.0000 0.5000
Cl1 0.0000 0.0000 0.0000
```

Computed properties:
As for the energy above the most stable polymorph in this dataset: 830 meV per atom. The uncorrected formation energy comes out at 612 meV per atom. The value obtained for the total magnetic moment is 0.0 Bohr magnetons per cell.

***

A geometry-optimized PtBr3Cl structure, computed with PBE.

```
data_PtBr3Cl
_symmetry_space_group_name_H-M 'P m -3 m'
_symmetry_Int_Tables_number 221
_symmetry_space_group_name_Hall '-P 4 2 3'
_cell_length_a 5.2390
_cell_length_b 5.2390
_cell_length_c 5.2390
_cell_angle_alpha 90.00
_cell_angle_beta 90.00
_cell_angle_gamma 90.00
loop_
_atom_site_label
_atom_site_fract_x
_atom_site_fract_y
_atom_site_fract_z
Pt1 0.0000 0.0000 0.0000
Br1 0.0000 0.5000 0.5000
Cl1 0.5000 0.5000 0.5000
```

Computed properties:
As for the energy above the most stable polymorph in this dataset: 1364 meV per atom. The uncorrected formation energy comes out at 1100 meV per atom. The value obtained for the total magnetic moment is 1.1 Bohr magnetons per cell.

***

A geometry-optimized Pt2Br3Cl4 structure, computed with PBE.

```
data_Pt2Br3Cl4
_symmetry_space_group_name_H-M 'C 1 2/c 1'
_symmetry_Int_Tables_number 15
_cell_length_a 13.3203
_cell_length_b 12.4063
_cell_length_c 6.7208
_cell_angle_alpha 90.00
_cell_angle_beta 115.47
_cell_angle_gamma 90.00
loop_
_symmetry_equiv_pos_as_xyz
'x,y,z'
'-x,-y,-z'
'-x,y,-z+1/2'
'x,-y,z+1/2'
'x+1/2,y+1/2,z'
'-x+1/2,-y+1/2,-z'
'-x+1/2,y+1/2,-z+1/2'
'x+1/2,-y+1/2,z+1/2'
loop_
_atom_site_label
_atom_site_fract_x
_atom_site_fract_y
_atom_site_fract_z
Pt1 0.1890 0.1150 0.3830
Br1 0.0000 0.2091 0.2500
Br2 0.1232 0.4626 0.4880
Cl1 0.1273 0.0391 0.0144
Cl2 0.2479 0.2220 0.7276
```

Computed properties:
The uncorrected formation energy comes out at -223 meV per atom. The value obtained for the total magnetic moment is 0.0 Bohr magnetons per cell.